## CuReTeF2 (PBE-GGA)

Data for crystalline CuReTeF2 at its relaxed geometry.

Unit cell a=3.901 b=3.901 c=5.852 alpha=90.00 beta=90.00 gamma=90.00
Space group P4/mmm (No. 123)
One atom of each set of equivalent atoms:
Cu: 0.000 0.000 0.000 [1 per cell]
Re: 0.500 0.500 0.500 [1 per cell]
Te: 0.000 0.000 0.500 [1 per cell]
F: 0.000 0.500 0.000 [2 per cell]

The density of states at the Fermi level is 2.83 states/eV per cell. As for the uncorrected energy: -24.07 eV/cell.


## PmPr3Y2S6 (PBE-GGA)

Data for crystalline PmPr3Y2S6 at its relaxed geometry.

Unit cell a=6.944 b=12.063 c=7.031 alpha=90.00 beta=109.28 gamma=90.00
Space group C2/m (No. 12)
One atom of each set of equivalent atoms:
Pm: 0.000 0.000 0.000 [2 per cell]
Pr: 0.000 0.164 0.500 [4 per cell]
Pr: 0.000 0.500 0.500 [2 per cell]
Y: 0.000 0.334 0.000 [4 per cell]
S: 0.238 0.500 0.234 [4 per cell]
S: 0.249 0.170 0.237 [8 per cell]

The density of states at the Fermi level is 10.81 states/eV per cell. As for the uncorrected energy: -162.06 eV/cell.